# Re2OsSe

Crystalline Re2OsSe at its relaxed geometry (PBE, Alexandria via LeMat-Bulk).

Unit cell a=2.887 b=3.907 c=5.484 alpha=90.00 beta=90.00 gamma=90.00
Space group Pmm2 (No. 25)
Inequivalent atoms, fractional coordinates:
Re1 0.000 0.000 0.000 [1 per cell]
Re2 0.500 0.500 0.317 [1 per cell]
Os1 0.500 0.500 0.822 [1 per cell]
Se1 0.000 0.000 0.499 [1 per cell]

Properties
* formation energy from raw total energies: 0.5938 eV per atom


# CaTb5Sm12

Crystalline CaTb5Sm12 at its relaxed geometry (PBE, Alexandria via LeMat-Bulk).

Unit cell a=18.805 b=10.862 c=6.268 alpha=90.00 beta=109.32 gamma=90.00
Space group C2/m (No. 12)
Inequivalent atoms, fractional coordinates:
Ca1 0.000 0.000 0.000 [2 per cell]
Tb1 0.000 0.500 0.500 [2 per cell]
Tb2 0.167 0.500 0.997 [4 per cell]
Tb3 0.169 0.000 0.510 [4 per cell]
Sm1 0.000 0.171 0.500 [4 per cell]
Sm2 0.000 0.339 0.000 [4 per cell]
Sm3 0.166 0.333 0.499 [8 per cell]
Sm4 0.169 0.168 0.001 [8 per cell]

Properties
* energy of formation from the pure elements: 0.0279 eV per atom


# Cd2Si2As

Crystalline Cd2Si2As at its relaxed geometry (PBE, Alexandria via LeMat-Bulk).

Unit cell a=4.403 b=4.403 c=10.982 alpha=90.00 beta=90.00 gamma=90.00
Space group I4/mmm (No. 139)
Inequivalent atoms, fractional coordinates:
Cd1 0.000 0.500 0.250 [4 per cell]
Si1 0.000 0.000 0.103 [4 per cell]
As1 0.000 0.000 0.500 [2 per cell]

Properties
* formation energy from raw total energies: 0.5188 eV per atom
* polymorph energy (0 for the lowest one): 146 meV/atom


# CsBe2Rh

Crystalline CsBe2Rh at its relaxed geometry (PBE, Alexandria via LeMat-Bulk).

Unit cell a=6.713 b=6.713 c=6.713 alpha=90.00 beta=90.00 gamma=90.00
Space group Fm-3m (No. 225)
Inequivalent atoms, fractional coordinates:
Cs1 0.000 0.000 0.000 [4 per cell]
Be1 0.250 0.250 0.250 [8 per cell]
Rh1 0.000 0.000 0.500 [4 per cell]

Properties
* energy of formation from the pure elements: 1.4521 eV per atom


# Ga2SiTc2

Crystalline Ga2SiTc2 at its relaxed geometry (PBE, Alexandria via LeMat-Bulk).

Unit cell a=6.683 b=6.683 c=3.321 alpha=90.00 beta=90.00 gamma=90.00
Space group P4/mbm (No. 127)
Inequivalent atoms, fractional coordinates:
Ga1 0.132 0.368 0.000 [4 per cell]
Si1 0.000 0.000 0.000 [2 per cell]
Tc1 0.169 0.669 0.500 [4 per cell]

Properties
* formation energy from raw total energies: 0.2157 eV per atom
* polymorph energy (0 for the lowest one): 401 meV/atom


# CaBeFe2

Crystalline CaBeFe2 at its relaxed geometry (PBE, Alexandria via LeMat-Bulk).

Unit cell a=3.8781 b=3.8781 c=15.1416 alpha=90.00 beta=90.00 gamma=120.00
Space group R3m (No. 160, hexagonal axes)
Inequivalent atoms, fractional coordinates:
Ca1 0.0000 0.0000 0.0000 [3 per cell]
Be1 0.0000 0.0000 0.8153 [3 per cell]
Fe1 0.0000 0.0000 0.1884 [3 per cell]
Fe2 0.0000 0.0000 0.5069 [3 per cell]

Properties
* energy of formation from the pure elements: 0.1026 eV per atom


# Pm8Ge5Au

Crystalline Pm8Ge5Au at its relaxed geometry (PBE, Alexandria via LeMat-Bulk).

Unit cell a=9.086 b=9.086 c=9.162 alpha=90.00 beta=90.00 gamma=90.00
Space group I-4 (No. 82)
Inequivalent atoms, fractional coordinates:
Pm1 0.065 0.180 0.308 [8 per cell]
Pm2 0.070 0.313 0.936 [8 per cell]
Ge1 0.000 0.000 0.000 [2 per cell]
Ge2 0.126 0.251 0.623 [8 per cell]
Au1 0.000 0.500 0.250 [2 per cell]

Properties
* energy of formation from the pure elements: -0.7814 eV per atom


# Al2Zn2Cr

Crystalline Al2Zn2Cr at its relaxed geometry (PBE, Alexandria via LeMat-Bulk).

Unit cell a=7.027 b=7.027 c=2.950 alpha=90.00 beta=90.00 gamma=90.00
Space group P4/mbm (No. 127)
Inequivalent atoms, fractional coordinates:
Al1 0.178 0.322 0.000 [4 per cell]
Zn1 0.124 0.624 0.500 [4 per cell]
Cr1 0.000 0.000 0.500 [2 per cell]

Properties
* energy of formation from the pure elements: 0.3064 eV per atom
* polymorph energy (0 for the lowest one): 0 meV/atom


# Dy3AgHg4

Crystalline Dy3AgHg4 at its relaxed geometry (PBE, Alexandria via LeMat-Bulk).

Unit cell a=3.954 b=4.545 c=11.502 alpha=82.78 beta=84.29 gamma=86.94
Space group P-1 (No. 2)
Inequivalent atoms, fractional coordinates:
Dy1 0.000 0.000 0.000 [1 per cell]
Dy2 0.415 0.910 0.290 [2 per cell]
Ag1 0.500 0.500 0.000 [1 per cell]
Hg1 0.050 0.545 0.809 [2 per cell]
Hg2 0.199 0.709 0.555 [2 per cell]

Properties
* energy of formation from the pure elements: -0.2853 eV per atom
* polymorph energy (0 for the lowest one): 14 meV/atom


# Cd2ReSb

Crystalline Cd2ReSb at its relaxed geometry (PBE, Alexandria via LeMat-Bulk).

Unit cell a=3.070 b=5.572 c=4.782 alpha=90.00 beta=94.03 gamma=90.00
Space group P2/m (No. 10)
Inequivalent atoms, fractional coordinates:
Cd1 0.247 0.000 0.246 [2 per cell]
Re1 0.000 0.500 0.000 [1 per cell]
Sb1 0.500 0.500 0.500 [1 per cell]

Properties
* formation energy from raw total energies: 0.6403 eV per atom


# La4TbCd2

Crystalline La4TbCd2 at its relaxed geometry (PBE, Alexandria via LeMat-Bulk).

Unit cell a=5.6968 b=5.6968 c=26.8632 alpha=90.00 beta=90.00 gamma=120.00
Space group R-3m (No. 166, hexagonal axes)
Inequivalent atoms, fractional coordinates:
La1 0.0000 0.0000 0.1294 [6 per cell]
La2 0.0000 0.0000 0.2657 [6 per cell]
Tb1 0.0000 0.0000 0.5000 [3 per cell]
Cd1 0.0000 0.0000 0.3864 [6 per cell]

Properties
* energy of formation from the pure elements: 0.0731 eV per atom
* polymorph energy (0 for the lowest one): 202 meV/atom


# Ba2NaTcH6

Crystalline Ba2NaTcH6 at its relaxed geometry (PBE, Alexandria via LeMat-Bulk).

Unit cell a=5.6653 b=5.6653 c=5.6778 alpha=90.00 beta=90.00 gamma=120.00
Space group P-3m1 (No. 164)
Inequivalent atoms, fractional coordinates:
Ba1 0.3333 0.6667 0.3063 [2 per cell]
Na1 0.0000 0.0000 0.0000 [1 per cell]
Tc1 0.0000 0.0000 0.5000 [1 per cell]
H1 0.1530 0.3060 0.6827 [6 per cell]

Properties
* final energy: -3.92 eV per atom


# Tb5PmDyHo2

Crystalline Tb5PmDyHo2 at its relaxed geometry (PBE, Alexandria via LeMat-Bulk).

Unit cell a=5.600 b=19.932 c=10.606 alpha=90.00 beta=90.00 gamma=90.00
Space group Cmc2_1 (No. 36)
Inequivalent atoms, fractional coordinates:
Tb1 0.000 0.017 0.000 [4 per cell]
Tb2 0.000 0.282 0.282 [4 per cell]
Tb3 0.000 0.300 0.682 [4 per cell]
Tb4 0.000 0.393 0.999 [4 per cell]
Tb5 0.000 0.479 0.713 [4 per cell]
Pm1 0.000 0.201 0.986 [4 per cell]
Dy1 0.000 0.414 0.430 [4 per cell]
Ho1 0.000 0.109 0.712 [4 per cell]
Ho2 0.000 0.114 0.294 [4 per cell]

Properties
* energy of formation from the pure elements: 0.1533 eV per atom


# K2CoSi

Crystalline K2CoSi at its relaxed geometry (PBE, Alexandria via LeMat-Bulk).

Unit cell a=4.385 b=5.128 c=7.913 alpha=90.00 beta=94.43 gamma=90.00
Space group P2/m (No. 10)
Inequivalent atoms, fractional coordinates:
K1 0.214 0.000 0.229 [2 per cell]
Co1 0.000 0.500 0.000 [1 per cell]
Si1 0.500 0.500 0.000 [1 per cell]

Properties
* formation energy from raw total energies: 0.4666 eV per atom


# ZrCu2Ni

Crystalline ZrCu2Ni at its relaxed geometry (PBE, Alexandria via LeMat-Bulk).

Unit cell a=3.162 b=3.162 c=5.785 alpha=90.00 beta=90.00 gamma=90.00
Space group P4mm (No. 99)
Inequivalent atoms, fractional coordinates:
Zr1 0.000 0.000 0.000 [1 per cell]
Cu1 0.000 0.000 0.512 [1 per cell]
Cu2 0.500 0.500 0.306 [1 per cell]
Ni1 0.500 0.500 0.740 [1 per cell]

Properties
* energy of formation from the pure elements: -0.1240 eV per atom


# Tb7Dy3Sc

Crystalline Tb7Dy3Sc at its relaxed geometry (PBE, Alexandria via LeMat-Bulk).

Unit cell a=6.916 b=18.228 c=6.540 alpha=90.00 beta=121.74 gamma=90.00
Space group C2/m (No. 12)
Inequivalent atoms, fractional coordinates:
Tb1 0.000 0.000 0.000 [2 per cell]
Tb2 0.000 0.414 0.000 [4 per cell]
Tb3 0.220 0.160 0.444 [8 per cell]
Dy1 0.000 0.500 0.500 [2 per cell]
Dy2 0.250 0.250 0.000 [4 per cell]
Sc1 0.000 0.000 0.500 [2 per cell]

Properties
* energy of formation from the pure elements: 0.1472 eV per atom
* polymorph energy (0 for the lowest one): 0 meV/atom


# Zr2BeSb

Crystalline Zr2BeSb at its relaxed geometry (PBE, Alexandria via LeMat-Bulk).

Unit cell a=5.596 b=3.800 c=7.768 alpha=90.00 beta=110.11 gamma=90.00
Space group P2_1/m (No. 11)
Inequivalent atoms, fractional coordinates:
Zr1 0.196 0.250 0.412 [2 per cell]
Zr2 0.244 0.750 0.064 [2 per cell]
Be1 0.122 0.250 0.788 [2 per cell]
Sb1 0.368 0.750 0.719 [2 per cell]

Properties
* formation energy from raw total energies: -0.5163 eV per atom
* polymorph energy (0 for the lowest one): 0 meV/atom


# Nd5Al2

Crystalline Nd5Al2 at its relaxed geometry (PBE, Alexandria via LeMat-Bulk).

Unit cell a=8.153 b=15.101 c=6.786 alpha=90.00 beta=90.00 gamma=90.00
Space group Ibam (No. 72)
Inequivalent atoms, fractional coordinates:
Nd1 0.000 0.000 0.250 [4 per cell]
Nd2 0.000 0.239 0.250 [8 per cell]
Nd3 0.161 0.418 0.000 [8 per cell]
Al1 0.233 0.375 0.500 [8 per cell]

Properties
* energy of formation from the pure elements: -0.1746 eV per atom
* polymorph energy (0 for the lowest one): 3 meV/atom


# Ac6BiAs3S2

Crystalline Ac6BiAs3S2 at its relaxed geometry (PBE, Alexandria via LeMat-Bulk).

Unit cell a=19.765 b=4.542 c=9.073 alpha=90.00 beta=103.35 gamma=90.00
Space group C2/m (No. 12)
Inequivalent atoms, fractional coordinates:
Ac1 0.001 0.000 0.265 [4 per cell]
Ac2 0.167 0.500 0.583 [4 per cell]
Ac3 0.172 0.500 0.085 [4 per cell]
Bi1 0.000 0.500 0.000 [2 per cell]
As1 0.000 0.500 0.500 [2 per cell]
As2 0.165 0.000 0.829 [4 per cell]
S1 0.170 0.000 0.338 [4 per cell]

Properties
* formation energy from raw total energies: -1.5702 eV per atom


# Pr3Si2Os

Crystalline Pr3Si2Os at its relaxed geometry (PBE, Alexandria via LeMat-Bulk).

Unit cell a=11.998 b=4.280 c=11.803 alpha=90.00 beta=90.00 gamma=90.00
Space group Pnma (No. 62)
Inequivalent atoms, fractional coordinates:
Pr1 0.063 0.250 0.118 [4 per cell]
Pr2 0.119 0.750 0.558 [4 per cell]
Pr3 0.206 0.250 0.799 [4 per cell]
Si1 0.035 0.750 0.314 [4 per cell]
Si2 0.203 0.750 0.986 [4 per cell]
Os1 0.128 0.250 0.358 [4 per cell]

Properties
* formation energy from raw total energies: -0.5295 eV per atom